Entry 1:
TcAgS2 after structural relaxation, computed with PBE.

CIF file:
```
data_TcAgS2
_chemical_formula_sum 'Tc1 Ag1 S2'
_symmetry_space_group_name_H-M 'P 1'
_symmetry_Int_Tables_number 1
_cell_length_a 8.6777
_cell_length_b 8.6777
_cell_length_c 8.6777
_cell_angle_alpha 20.42
_cell_angle_beta 20.42
_cell_angle_gamma 20.42
loop_
_symmetry_equiv_pos_as_xyz
'x,y,z'
loop_
_atom_site_label
_atom_site_type_symbol
_atom_site_fract_x
_atom_site_fract_y
_atom_site_fract_z
S1 S 0.9128 0.9128 0.9128
S2 S 0.0872 0.0872 0.0872
Tc1 Tc 0.0000 0.0000 0.0000
Ag1 Ag 0.5000 0.5000 0.5000
```

## Properties
Energy relative to the elements, uncorrected ... 0.4946 eV/atom
Total magnetization ... 0.00 μB per cell
Crystal system ... trigonal
Volume ... 17.403 Å³/atom

Entry 2:
TcAg3S after structural relaxation, computed with PBE.

CIF file:
```
data_TcAg3S
_chemical_formula_sum 'Tc1 Ag3 S1'
_symmetry_space_group_name_H-M 'P 1'
_symmetry_Int_Tables_number 1
_cell_length_a 4.7791
_cell_length_b 4.7791
_cell_length_c 4.7791
_cell_angle_alpha 90.00
_cell_angle_beta 90.00
_cell_angle_gamma 90.00
loop_
_symmetry_equiv_pos_as_xyz
'x,y,z'
loop_
_atom_site_label
_atom_site_type_symbol
_atom_site_fract_x
_atom_site_fract_y
_atom_site_fract_z
S1 S 0.0000 0.0000 0.0000
Tc1 Tc 0.5000 0.5000 0.5000
Ag1 Ag 0.0000 0.5000 0.0000
Ag2 Ag 0.0000 0.0000 0.5000
Ag3 Ag 0.5000 0.0000 0.0000
```

## Properties
Energy relative to the elements, uncorrected ... 1.0604 eV/atom
Total magnetization ... 3.85 μB per cell
Crystal system ... cubic
Volume ... 21.831 Å³/atom

Entry 3:
TcAgS2 after structural relaxation, computed with PBE.

CIF file:
```
data_TcAgS2
_chemical_formula_sum 'Tc2 Ag2 S4'
_symmetry_space_group_name_H-M 'P 1'
_symmetry_Int_Tables_number 1
_cell_length_a 5.5634
_cell_length_b 5.5634
_cell_length_c 6.7466
_cell_angle_alpha 65.65
_cell_angle_beta 65.65
_cell_angle_gamma 90.00
loop_
_symmetry_equiv_pos_as_xyz
'x,y,z'
loop_
_atom_site_label
_atom_site_type_symbol
_atom_site_fract_x
_atom_site_fract_y
_atom_site_fract_z
S1 S 0.5794 0.1250 0.2500
S2 S 0.1706 0.6250 0.2500
S3 S 0.3750 0.4206 0.7500
S4 S 0.8750 0.8294 0.7500
Tc1 Tc 0.5000 0.5000 0.0000
Tc2 Tc 0.2500 0.7500 0.5000
Ag1 Ag 0.0000 0.0000 0.0000
Ag2 Ag 0.7500 0.2500 0.5000
```

## Properties
Energy relative to the elements, uncorrected ... -0.0923 eV/atom
Total magnetization ... 0.00 μB per cell
Crystal system ... tetragonal
Volume ... 21.205 Å³/atom

Entry 4:
TcAgS3 after structural relaxation, computed with PBE.

CIF file:
```
data_TcAgS3
_chemical_formula_sum 'Tc1 Ag1 S3'
_symmetry_space_group_name_H-M 'P 1'
_symmetry_Int_Tables_number 1
_cell_length_a 4.6639
_cell_length_b 4.6639
_cell_length_c 4.6639
_cell_angle_alpha 90.00
_cell_angle_beta 90.00
_cell_angle_gamma 90.00
loop_
_symmetry_equiv_pos_as_xyz
'x,y,z'
loop_
_atom_site_label
_atom_site_type_symbol
_atom_site_fract_x
_atom_site_fract_y
_atom_site_fract_z
S1 S 0.0000 0.5000 0.0000
S2 S 0.0000 0.0000 0.5000
S3 S 0.5000 0.0000 0.0000
Tc1 Tc 0.0000 0.0000 0.0000
Ag1 Ag 0.5000 0.5000 0.5000
```

## Properties
Energy relative to the elements, uncorrected ... 0.3555 eV/atom
Total magnetization ... 0.00 μB per cell
Crystal system ... cubic
Volume ... 20.290 Å³/atom

Entry 5:
TcAgS2 after structural relaxation, computed with PBE.

CIF file:
```
data_TcAgS2
_chemical_formula_sum 'Tc1 Ag1 S2'
_symmetry_space_group_name_H-M 'P 1'
_symmetry_Int_Tables_number 1
_cell_length_a 7.8804
_cell_length_b 7.8804
_cell_length_c 7.8804
_cell_angle_alpha 25.17
_cell_angle_beta 25.17
_cell_angle_gamma 25.17
loop_
_symmetry_equiv_pos_as_xyz
'x,y,z'
loop_
_atom_site_label
_atom_site_type_symbol
_atom_site_fract_x
_atom_site_fract_y
_atom_site_fract_z
S1 S 0.8944 0.8944 0.8944
S2 S 0.1056 0.1056 0.1056
Tc1 Tc 0.5000 0.5000 0.5000
Ag1 Ag 0.0000 0.0000 0.0000
```

## Properties
Energy relative to the elements, uncorrected ... -0.1932 eV/atom
Total magnetization ... 2.00 μB per cell
Crystal system ... trigonal
Volume ... 19.480 Å³/atom

Entry 6:
VTcAgS2 after structural relaxation, computed with PBE.

CIF file:
```
data_VTcAgS2
_chemical_formula_sum 'V1 Tc1 Ag1 S2'
_symmetry_space_group_name_H-M 'P 1'
_symmetry_Int_Tables_number 1
_cell_length_a 4.4492
_cell_length_b 5.1131
_cell_length_c 4.4492
_cell_angle_alpha 90.00
_cell_angle_beta 90.00
_cell_angle_gamma 90.00
loop_
_symmetry_equiv_pos_as_xyz
'x,y,z'
loop_
_atom_site_label
_atom_site_type_symbol
_atom_site_fract_x
_atom_site_fract_y
_atom_site_fract_z
S1 S 0.0000 0.0000 0.5000
S2 S 0.5000 0.0000 0.0000
Tc1 Tc 0.5000 0.5000 0.5000
Ag1 Ag 0.0000 0.5000 0.0000
V1 V 0.0000 0.0000 0.0000
```

## Properties
Energy relative to the elements, uncorrected ... 0.7209 eV/atom
Total magnetization ... 4.76 μB per cell
Crystal system ... tetragonal
Volume ... 20.243 Å³/atom

Entry 7:
ZnTcAg2S after structural relaxation, computed with PBE.

CIF file:
```
data_ZnTcAg2S
_chemical_formula_sum 'Zn1 Tc1 Ag2 S1'
_symmetry_space_group_name_H-M 'P 1'
_symmetry_Int_Tables_number 1
_cell_length_a 4.7509
_cell_length_b 4.8045
_cell_length_c 4.7509
_cell_angle_alpha 90.00
_cell_angle_beta 90.00
_cell_angle_gamma 90.00
loop_
_symmetry_equiv_pos_as_xyz
'x,y,z'
loop_
_atom_site_label
_atom_site_type_symbol
_atom_site_fract_x
_atom_site_fract_y
_atom_site_fract_z
S1 S 0.5000 0.5000 0.5000
Zn1 Zn 0.0000 0.0000 0.0000
Tc1 Tc 0.0000 0.5000 0.0000
Ag1 Ag 0.0000 0.0000 0.5000
Ag2 Ag 0.5000 0.0000 0.0000
```

## Properties
Energy relative to the elements, uncorrected ... 1.0878 eV/atom
Total magnetization ... 2.92 μB per cell
Crystal system ... tetragonal
Volume ... 21.688 Å³/atom

Entry 8:
Ag4TeS2 after structural relaxation, computed with PBE.

CIF file:
```
data_Ag4TeS2
_chemical_formula_sum 'Ag4 Te1 S2'
_symmetry_space_group_name_H-M 'P 1'
_symmetry_Int_Tables_number 1
_cell_length_a 5.3002
_cell_length_b 5.3002
_cell_length_c 7.5322
_cell_angle_alpha 69.40
_cell_angle_beta 69.40
_cell_angle_gamma 90.00
loop_
_symmetry_equiv_pos_as_xyz
'x,y,z'
loop_
_atom_site_label
_atom_site_type_symbol
_atom_site_fract_x
_atom_site_fract_y
_atom_site_fract_z
S1 S 0.3868 0.3868 0.2263
S2 S 0.6132 0.6132 0.7737
Te1 Te 0.0000 0.0000 0.0000
Ag1 Ag 0.2074 0.2074 0.5852
Ag2 Ag 0.7926 0.7926 0.4148
Ag3 Ag 0.0000 0.5000 0.0000
Ag4 Ag 0.5000 0.0000 0.0000
```

## Properties
Energy relative to the elements, uncorrected ... 0.3685 eV/atom
Total magnetization ... 0.13 μB per cell
Crystal system ... tetragonal
Volume ... 26.221 Å³/atom

Entry 9:
Ag12TeS6 after structural relaxation, computed with PBE.

CIF file:
```
data_Ag12TeS6
_chemical_formula_sum 'Ag12 Te1 S6'
_symmetry_space_group_name_H-M 'P 1'
_symmetry_Int_Tables_number 1
_cell_length_a 7.5434
_cell_length_b 7.5434
_cell_length_c 7.5434
_cell_angle_alpha 101.02
_cell_angle_beta 101.02
_cell_angle_gamma 101.02
loop_
_symmetry_equiv_pos_as_xyz
'x,y,z'
loop_
_atom_site_label
_atom_site_type_symbol
_atom_site_fract_x
_atom_site_fract_y
_atom_site_fract_z
Ag1 Ag 0.7502 0.2498 0.5000
Ag2 Ag 0.9179 0.6632 0.6632
Ag3 Ag 0.6632 0.6632 0.9179
Ag4 Ag 0.3368 0.0821 0.3368
Ag5 Ag 0.3368 0.3368 0.0821
Ag6 Ag 0.0821 0.3368 0.3368
Ag7 Ag 0.2498 0.5000 0.7502
Ag8 Ag 0.5000 0.7502 0.2498
Ag9 Ag 0.2498 0.7502 0.5000
Ag10 Ag 0.7502 0.5000 0.2498
Ag11 Ag 0.5000 0.2498 0.7502
Ag12 Ag 0.6632 0.9179 0.6632
Te1 Te 0.0000 0.0000 0.0000
S1 S 0.5922 0.1674 0.1674
S2 S 0.1674 0.1674 0.5922
S3 S 0.1674 0.5922 0.1674
S4 S 0.8326 0.8326 0.4078
S5 S 0.4078 0.8326 0.8326
S6 S 0.8326 0.4078 0.8326
```

## Properties
Energy relative to the elements, uncorrected ... 0.0576 eV/atom
Total magnetization ... 0.00 μB per cell
Crystal system ... trigonal
Volume ... 21.149 Å³/atom

Entry 10:
AgTe2S after structural relaxation, computed with PBE.

CIF file:
```
data_AgTe2S
_chemical_formula_sum 'Ag2 Te4 S2'
_symmetry_space_group_name_H-M 'P 1'
_symmetry_Int_Tables_number 1
_cell_length_a 5.7748
_cell_length_b 5.7748
_cell_length_c 8.4911
_cell_angle_alpha 70.12
_cell_angle_beta 70.12
_cell_angle_gamma 90.00
loop_
_symmetry_equiv_pos_as_xyz
'x,y,z'
loop_
_atom_site_label
_atom_site_type_symbol
_atom_site_fract_x
_atom_site_fract_y
_atom_site_fract_z
S1 S 0.5000 0.5000 0.0000
S2 S 0.2500 0.7500 0.5000
Te1 Te 0.5999 0.1250 0.2500
Te2 Te 0.1501 0.6250 0.2500
Te3 Te 0.3750 0.4001 0.7500
Te4 Te 0.8750 0.8499 0.7500
Ag1 Ag 0.0000 0.0000 0.0000
Ag2 Ag 0.7500 0.2500 0.5000
```

## Properties
Energy relative to the elements, uncorrected ... 0.2687 eV/atom
Total magnetization ... 0.00 μB per cell
Crystal system ... tetragonal
Volume ... 31.034 Å³/atom

Entry 11:
Ag4Te3S after structural relaxation, computed with PBE.

CIF file:
```
data_Ag4Te3S
_chemical_formula_sum 'Ag8 Te6 S2'
_symmetry_space_group_name_H-M 'P 1'
_symmetry_Int_Tables_number 1
_cell_length_a 7.7952
_cell_length_b 6.7287
_cell_length_c 8.6995
_cell_angle_alpha 90.00
_cell_angle_beta 90.00
_cell_angle_gamma 90.00
loop_
_symmetry_equiv_pos_as_xyz
'x,y,z'
loop_
_atom_site_label
_atom_site_type_symbol
_atom_site_fract_x
_atom_site_fract_y
_atom_site_fract_z
Ag1 Ag 0.1296 0.8638 0.0000
Ag2 Ag 0.6726 0.1593 0.0000
Ag3 Ag 0.1367 0.3119 0.2316
Ag4 Ag 0.6367 0.6881 0.2684
Ag5 Ag 0.1726 0.8407 0.5000
Ag6 Ag 0.6296 0.1362 0.5000
Ag7 Ag 0.6367 0.6881 0.7316
Ag8 Ag 0.1367 0.3119 0.7684
Te1 Te 0.4805 0.8162 0.0000
Te2 Te 0.9872 0.6827 0.2579
Te3 Te 0.4872 0.3173 0.2421
Te4 Te 0.9805 0.1839 0.5000
Te5 Te 0.4872 0.3173 0.7579
Te6 Te 0.9872 0.6827 0.7421
S1 S 0.9848 0.1915 0.0000
S2 S 0.4848 0.8085 0.5000
```

## Properties
Energy relative to the elements, uncorrected ... 0.1009 eV/atom
Total magnetization ... 0.00 μB per cell
Crystal system ... orthorhombic
Volume ... 28.519 Å³/atom

Entry 12:
AgTeS6 after structural relaxation, computed with PBE.

CIF file:
```
data_AgTeS6
_chemical_formula_sum 'Ag1 Te1 S6'
_symmetry_space_group_name_H-M 'P 1'
_symmetry_Int_Tables_number 1
_cell_length_a 7.8596
_cell_length_b 7.4567
_cell_length_c 9.7636
_cell_angle_alpha 60.43
_cell_angle_beta 37.74
_cell_angle_gamma 40.17
loop_
_symmetry_equiv_pos_as_xyz
'x,y,z'
loop_
_atom_site_label
_atom_site_type_symbol
_atom_site_fract_x
_atom_site_fract_y
_atom_site_fract_z
Ag1 Ag 0.5000 0.5000 0.5000
Te1 Te 0.0000 0.0000 0.0000
S1 S 0.0970 0.9902 0.6742
S2 S 0.5579 0.2264 0.8245
S3 S 0.8843 0.4748 0.8839
S4 S 0.4421 0.7736 0.1755
S5 S 0.9030 0.0098 0.3258
S6 S 0.1157 0.5252 0.1161
```

## Properties
Energy relative to the elements, uncorrected ... 0.0945 eV/atom
Total magnetization ... 0.00 μB per cell
Crystal system ... triclinic
Volume ... 27.107 Å³/atom